# NaSr2CdNi | the Alexandria database | GGA-PBE | relaxed
data_NaSr2CdNi
_cell_length_a 5.7723
_cell_length_b 5.7723
_cell_length_c 5.1242
_cell_angle_alpha 90.00
_cell_angle_beta 90.00
_cell_angle_gamma 90.00
_space_group_name_H-M_alt 'P 1'
_space_group_IT_number 1
_space_group_name_Hall 'P 1'
loop_
_atom_site_label
_atom_site_type_symbol
_atom_site_fract_x
_atom_site_fract_y
_atom_site_fract_z
Na1 Na 0.0000 0.0000 0.0000
Sr1 Sr 0.0000 0.5000 0.5000
Sr2 Sr 0.5000 0.0000 0.5000
Cd1 Cd 0.5000 0.5000 0.0000
Ni1 Ni 0.5000 0.5000 0.5000
# ΔE_f = -57.9 meV/atom
# N(E_F) = 1.2 states/eV/cell